(1)
The following is a DFT calculation (PBE+U) of a geometry-optimized CoAgSeO structure.

Results
The value obtained for the final energy is -4.359 eV/atom. As for the magnetization: 2.6 μB/f.u. The theoretical density is 6.53 g/cm3. For the volume, the calculation gives 133 Å³ per cell.

abc: 7.295 7.295 6.198
angles: 90.00 90.00 23.82
Positions (direct):
1 Ag 0.964 0.964 0.360
2 Ag 0.036 0.036 0.860
3 Co 0.676 0.676 0.456
4 Co 0.324 0.324 0.956
5 O 0.901 0.901 0.029
6 O 0.099 0.099 0.529
7 Se 0.683 0.683 0.048
8 Se 0.317 0.317 0.548

---

(2)
The following is a DFT calculation (PBE+U) of a geometry-optimized CoAgSeO structure.

Results
The value obtained for the final energy is -3.982 eV/atom. As for the magnetization: 0.0 μB/f.u. The theoretical density is 7.04 g/cm3. For the volume, the calculation gives 124 Å³ per cell.

abc: 3.501 3.501 10.083
angles: 90.00 90.00 90.00
Positions (direct):
1 Ag 0.750 0.750 0.418
2 Ag 0.250 0.250 0.582
3 Co 0.750 0.250 0.000
4 Co 0.250 0.750 0.000
5 O 0.250 0.250 0.318
6 O 0.750 0.750 0.682
7 Se 0.250 0.250 0.140
8 Se 0.750 0.750 0.860

---

(3)
The following is a DFT calculation (PBE+U) of a geometry-optimized CoAgSeO structure.

Results
The value obtained for the final energy is -4.387 eV/atom. As for the magnetization: 2.6 μB/f.u. The theoretical density is 5.97 g/cm3. For the volume, the calculation gives 146 Å³ per cell.

abc: 3.793 6.971 5.507
angles: 90.00 90.00 90.00
Positions (direct):
1 Ag 0.000 0.297 0.128
2 Ag 0.000 0.703 0.628
3 Co 0.500 0.872 0.031
4 Co 0.500 0.128 0.531
5 O 0.500 0.109 0.186
6 O 0.500 0.891 0.686
7 Se 0.000 0.671 0.147
8 Se 0.000 0.329 0.647

---

(4)
The following is a DFT calculation (PBE+U) of a geometry-optimized CoAgSeO structure.

Results
The value obtained for the final energy is -4.406 eV/atom. As for the magnetization: 2.1 μB/f.u. The theoretical density is 6.65 g/cm3. For the volume, the calculation gives 262 Å³ per cell.

abc: 5.692 6.597 7.134
angles: 90.20 102.51 90.07
Positions (direct):
1 Ag 0.984 0.300 0.073
2 Ag 0.485 0.199 0.077
3 Ag 0.513 0.799 0.924
4 Ag 0.014 0.702 0.928
5 Co 0.228 0.398 0.483
6 Co 0.729 0.102 0.489
7 Co 0.274 0.898 0.513
8 Co 0.776 0.602 0.519
9 O 0.373 0.151 0.434
10 O 0.872 0.349 0.439
11 O 0.129 0.653 0.561
12 O 0.628 0.848 0.566
13 Se 0.366 0.551 0.208
14 Se 0.865 0.951 0.209
15 Se 0.133 0.050 0.788
16 Se 0.631 0.448 0.790

---

(5)
The following is a DFT calculation (PBE+U) of a geometry-optimized CoAgSeO structure.

Results
The value obtained for the final energy is -4.336 eV/atom. As for the magnetization: 2.3 μB/f.u. The theoretical density is 6.35 g/cm3. For the volume, the calculation gives 274 Å³ per cell.

abc: 6.315 5.772 7.515
angles: 90.00 90.00 90.00
Positions (direct):
1 Ag 0.230 0.293 0.043
2 Ag 0.770 0.793 0.457
3 Ag 0.270 0.707 0.543
4 Ag 0.730 0.207 0.957
5 Co 0.396 0.806 0.142
6 Co 0.604 0.306 0.358
7 Co 0.104 0.194 0.642
8 Co 0.896 0.694 0.858
9 O 0.505 0.115 0.169
10 O 0.495 0.615 0.331
11 O 0.995 0.885 0.669
12 O 0.005 0.385 0.831
13 Se 0.007 0.878 0.134
14 Se 0.993 0.378 0.366
15 Se 0.493 0.122 0.634
16 Se 0.507 0.622 0.866

---

(6)
The following is a DFT calculation (PBE+U) of a geometry-optimized CoAgSeO structure.

Results
The value obtained for the final energy is -4.416 eV/atom. As for the magnetization: 2.8 μB/f.u. The theoretical density is 5.90 g/cm3. For the volume, the calculation gives 147 Å³ per cell.

abc: 3.972 3.972 9.344
angles: 90.00 90.00 90.00
Positions (direct):
1 Ag 0.750 0.250 0.500
2 Ag 0.250 0.750 0.500
3 Co 0.750 0.750 0.047
4 Co 0.250 0.250 0.953
5 O 0.750 0.250 0.000
6 O 0.250 0.750 0.000
7 Se 0.750 0.750 0.311
8 Se 0.250 0.250 0.689